## CaCu2Cl8 (PBE)

Data for crystalline CaCu2Cl8 at its relaxed geometry.

a = 6.7406 Å, b = 6.7406 Å, c = 7.6629 Å
α = 116.09°, β = 116.09°, γ = 90.00°
Fractional coordinates of all 11 atoms:
Cu 0.2500 0.7500 0.5000
Ca 0.5000 0.5000 0.0000
Cl 0.0423 0.5440 0.7551
Cl 0.2111 0.0423 0.7551
Cl 0.9577 0.7889 0.2449
Cl 0.4560 0.9577 0.2449
Cl 0.2872 0.4560 0.2449
Cl 0.7889 0.2872 0.2449
Cl 0.7128 0.2111 0.7551
Cl 0.5440 0.7128 0.7551
Cu 0.7500 0.2500 0.5000

Results
Mass density ... 2.7 g/cm3
E_form (uncorrected) ... -19.03 kcal/mol of atoms
Total DFT energy (no corrections) ... -34.04 eV per cell
Spin magnetization ... 0.00 μB per formula unit